# ReTeAs

ReTeAs after structural relaxation (PBE, OQMD).

E = -0.46740 Ry per atom

The structure in POSCAR format:
```
ReTeAs
1.0
0.000 3.144 3.144
3.144 0.000 3.144
3.144 3.144 0.000
Re Te As
1 1 1
Direct
0.000 0.000 0.000
0.250 0.250 0.250
0.750 0.750 0.750
```

# BeHgPdPb

BeHgPdPb after structural relaxation (PBE, OQMD).

E = -0.21378 Ry per atom

The structure in POSCAR format:
```
BeHgPdPb
1.0
0.000 3.371 3.371
3.371 0.000 3.371
3.371 3.371 0.000
Be Hg Pd Pb
1 1 1 1
Direct
0.000 0.000 0.000
0.750 0.750 0.750
0.500 0.500 0.500
0.250 0.250 0.250
```

# Lu2InAu2

Lu2InAu2 after structural relaxation (PBE, OQMD).

E = -0.32892 Ry per atom

The structure in POSCAR format:
```
Lu2InAu2
1.0
7.843 0.000 0.000
0.000 7.843 0.000
0.000 0.000 7.265
Lu In Au
8 4 8
Direct
0.161 0.161 0.000
0.177 0.177 0.500
0.323 0.677 0.000
0.339 0.661 0.500
0.661 0.339 0.500
0.677 0.323 0.000
0.823 0.823 0.500
0.839 0.839 0.000
0.000 0.500 0.250
0.000 0.500 0.750
0.500 0.000 0.250
0.500 0.000 0.750
0.130 0.870 0.266
0.130 0.870 0.734
0.370 0.370 0.234
0.370 0.370 0.766
0.630 0.630 0.234
0.630 0.630 0.766
0.870 0.130 0.266
0.870 0.130 0.734
```

# NaSmPO

NaSmPO after structural relaxation (PBE, OQMD).

E = -0.38888 Ry per atom

The structure in POSCAR format:
```
NaSmPO
1.0
5.703 0.000 0.000
0.000 5.703 0.000
0.000 0.000 4.946
Na Sm P O
2 2 2 2
Direct
0.250 0.250 0.001
0.750 0.750 0.999
0.250 0.750 0.500
0.750 0.250 0.500
0.250 0.250 0.501
0.750 0.750 0.499
0.250 0.750 0.000
0.750 0.250 0.000
```

# CdSn2B

CdSn2B after structural relaxation (PBE, OQMD).

E = -0.21623 Ry per atom

The structure in POSCAR format:
```
CdSn2B
1.0
0.000 3.536 3.536
3.536 0.000 3.536
3.536 3.536 0.000
Cd Sn B
1 2 1
Direct
0.000 0.000 0.000
0.250 0.250 0.250
0.500 0.500 0.500
0.750 0.750 0.750
```

# Tb2PrZn2Si4Au2

Tb2PrZn2Si4Au2 after structural relaxation (PBE, OQMD).

E = -0.34659 Ry per atom

The structure in POSCAR format:
```
Tb2PrZn2Si4Au2
1.0
-2.056 2.111 12.603
2.056 -2.111 12.603
2.056 2.111 -12.603
Tb Pr Zn Si Au
2 1 2 4 2
Direct
0.147 0.147 0.000
0.853 0.853 0.000
0.500 0.000 0.500
0.249 0.749 0.500
0.751 0.251 0.500
0.047 0.547 0.500
0.307 0.307 0.000
0.693 0.693 0.000
0.953 0.453 0.500
0.403 0.403 0.000
0.597 0.597 0.000
```